No. 1
This record from Alexandria via LeMat-Bulk describes PuNpO6 after structural relaxation. The functional is GGA-PBE.

Cell: 5.1755 5.4202 5.4322 Å, 78.63 63.97 81.44°
Element x y z (fractional)
Pu: 0.0000 0.0000 0.0000
Np: 0.0000 0.5000 0.5000
O: 0.0012 0.2700 0.2747
O: 0.2626 0.2613 0.6187
O: 0.2727 0.7800 0.0869
O: 0.7273 0.2200 0.9131
O: 0.7374 0.7387 0.3813
O: 0.9988 0.7300 0.7253

---

No. 2
This record from Alexandria via LeMat-Bulk describes Pu2NpO11 after structural relaxation. The functional is GGA-PBE.

Cell: 8.3082 8.3082 10.2959 Å, 123.04 123.04 66.67°
Element x y z (fractional)
Pu: 0.0707 0.9293 0.5000
Pu: 0.3128 0.6090 0.9205
Pu: 0.6090 0.3128 0.4205
Pu: 0.9293 0.0707 0.0000
Np: 0.5844 0.8638 0.4658
Np: 0.8638 0.5844 0.9658
O: 0.0069 0.7464 0.2741
O: 0.1053 0.5415 0.9651
O: 0.1172 0.1192 0.7123
O: 0.1192 0.1172 0.2123
O: 0.1300 0.8669 0.9126
O: 0.1875 0.5023 0.6912
O: 0.2408 0.7601 0.5938
O: 0.3490 0.9272 0.4821
O: 0.3710 0.4431 0.4136
O: 0.4324 0.7366 0.1573
O: 0.4431 0.3710 0.9136
O: 0.5023 0.1875 0.1912
O: 0.5415 0.1053 0.4651
O: 0.6087 0.6250 0.9394
O: 0.6250 0.6087 0.4394
O: 0.7366 0.4324 0.6573
O: 0.7464 0.0069 0.7741
O: 0.7601 0.2408 0.0938
O: 0.8207 0.8332 0.9773
O: 0.8332 0.8207 0.4773
O: 0.8669 0.1300 0.4126
O: 0.9272 0.3490 0.9821

---

No. 3
This record from Alexandria via LeMat-Bulk describes PuNpO after structural relaxation. The functional is GGA-PBE.

Cell: 3.9120 3.9120 8.6058 Å, 103.25 103.25 59.82°
Element x y z (fractional)
Pu: 0.1776 0.1776 0.0336
Pu: 0.8224 0.8224 0.9664
Np: 0.2741 0.2741 0.3230
Np: 0.7259 0.7259 0.6770
O: 0.3650 0.3650 0.5937
O: 0.6350 0.6350 0.4063

---

No. 4
This record from Alexandria via LeMat-Bulk describes PuNp2O8 after structural relaxation. The functional is GGA-PBE.

Cell: 6.2122 6.2122 6.5547 Å, 98.94 98.94 36.92°
Element x y z (fractional)
Pu: 0.0000 0.0000 0.0000
Np: 0.2480 0.2480 0.7408
Np: 0.7520 0.7520 0.2592
O: 0.0825 0.0825 0.7066
O: 0.1976 0.1976 0.0645
O: 0.2886 0.2886 0.4288
O: 0.4214 0.4214 0.8270
O: 0.5786 0.5786 0.1730
O: 0.7114 0.7114 0.5712
O: 0.8024 0.8024 0.9355
O: 0.9175 0.9175 0.2934

---

No. 5
This record from Alexandria via LeMat-Bulk describes PuNp4O10 after structural relaxation. The functional is GGA-PBE.

Cell: 15.8526 15.8526 15.8526 Å, 13.77 13.77 13.77°
Element x y z (fractional)
Pu: 0.0000 0.0000 0.0000
Np: 0.1999 0.1999 0.1999
Np: 0.4005 0.4005 0.4005
Np: 0.5995 0.5995 0.5995
Np: 0.8001 0.8001 0.8001
O: 0.0522 0.0522 0.0522
O: 0.1501 0.1501 0.1501
O: 0.2492 0.2492 0.2492
O: 0.3514 0.3514 0.3514
O: 0.4502 0.4502 0.4502
O: 0.5498 0.5498 0.5498
O: 0.6486 0.6486 0.6486
O: 0.7508 0.7508 0.7508
O: 0.8499 0.8499 0.8499
O: 0.9478 0.9478 0.9478

---

No. 6
This record from Alexandria via LeMat-Bulk describes Rb3PuNp2O9 after structural relaxation. The functional is GGA-PBE.

Cell: 6.1263 6.1263 7.5024 Å, 90.00 90.00 120.00°
Element x y z (fractional)
Rb: 0.0000 0.0000 0.0000
Rb: 0.3333 0.6667 0.6661
Rb: 0.6667 0.3333 0.3339
Pu: 0.0000 0.0000 0.5000
Np: 0.3333 0.6667 0.1670
Np: 0.6667 0.3333 0.8330
O: 0.0000 0.5000 0.0000
O: 0.1712 0.3424 0.3279
O: 0.1712 0.8288 0.3279
O: 0.3424 0.1712 0.6721
O: 0.5000 0.0000 0.0000
O: 0.5000 0.5000 0.0000
O: 0.6576 0.8288 0.3279
O: 0.8288 0.1712 0.6721
O: 0.8288 0.6576 0.6721

---

No. 7
This record from Alexandria via LeMat-Bulk describes Rb4PuNp3O12 after structural relaxation. The functional is GGA-PBE.

Cell: 7.5062 7.5062 7.5062 Å, 109.47 109.47 109.47°
Element x y z (fractional)
Rb: 0.0000 0.0000 0.5000
Rb: 0.0000 0.5000 0.0000
Rb: 0.5000 0.0000 0.0000
Rb: 0.5000 0.5000 0.5000
Pu: 0.0000 0.0000 0.0000
Np: 0.0000 0.5000 0.5000
Np: 0.5000 0.0000 0.5000
Np: 0.5000 0.5000 0.0000
O: 0.0000 0.2596 0.2596
O: 0.0000 0.7404 0.7404
O: 0.2500 0.5000 0.7500
O: 0.2500 0.7500 0.5000
O: 0.2596 0.0000 0.2596
O: 0.2596 0.2596 0.0000
O: 0.5000 0.2500 0.7500
O: 0.5000 0.7500 0.2500
O: 0.7404 0.0000 0.7404
O: 0.7404 0.7404 0.0000
O: 0.7500 0.2500 0.5000
O: 0.7500 0.5000 0.2500

---

No. 8
This record from Alexandria via LeMat-Bulk describes Rb2PuNpO6 after structural relaxation. The functional is GGA-PBE.

Cell: 6.1201 6.1201 6.1201 Å, 60.00 60.00 60.00°
Element x y z (fractional)
Rb: 0.2500 0.2500 0.2500
Rb: 0.7500 0.7500 0.7500
Pu: 0.0000 0.0000 0.0000
Np: 0.5000 0.5000 0.5000
O: 0.2561 0.2561 0.7439
O: 0.2561 0.7439 0.2561
O: 0.2561 0.7439 0.7439
O: 0.7439 0.2561 0.2561
O: 0.7439 0.2561 0.7439
O: 0.7439 0.7439 0.2561

---

Number 1: ΔE_f (raw) -2.534 eV per atom. Number 2: ΔE_f (raw) -2.102 eV per atom. Number 3: ΔE_f (raw) -1.402 eV per atom. Number 4: ΔE_f (raw) -2.726 eV per atom. Number 5: ΔE_f (raw) -3.113 eV per atom. Number 6: ΔE_f (raw) -2.636 eV per atom. Number 7: ΔE_f (raw) -2.644 eV per atom. Number 8: ΔE_f (raw) -2.622 eV per atom.